(1)
Here is a geometry-optimized Rb3NaAg2Br6 structure from Alexandria. Energies are from PBE.

The space group is P-3m1 (No. 164) and the conventional cell measures 8.3736, 8.3736 and 8.9477 Å, with angles of 90.00, 90.00 and 120.00 degrees. The distinct sites, in fractional coordinates, are Rb at (0.0000, 0.0000, 0.0000), Rb at (0.3333, 0.6667, 0.6346), Na at (0.0000, 0.0000, 0.5000), Ag at (0.3333, 0.6667, 0.2434) and Br at (0.1571, 0.3143, 0.2891).

The value obtained for the spin magnetization is 0.000 Bohr magnetons per cell. The value obtained for the total energy is -2.81 eV per atom. The calculation puts the energy relative to the elements, uncorrected at -1.149 eV per atom. Its mass density is 2.978 g/cm³.

---

(2)
Here is a geometry-optimized BeCrNi structure from Alexandria. Energies are from PBE.

The space group is I4mm (No. 107) and the conventional cell measures 2.498, 2.498 and 9.542 Å, with angles of 90.00, 90.00 and 90.00 degrees. The distinct sites, in fractional coordinates, are Be at (0.000, 0.000, 0.000), Cr at (0.000, 0.000, 0.331) and Ni at (0.000, 0.000, 0.644).

The value obtained for the spin magnetization is 0.000 Bohr magnetons per cell. The value obtained for the total energy is -6.51 eV per atom. Its offset from the most stable computed form is 0.032 eV/atom. Its mass density is 6.678 g/cm³. Its formation energy is -0.130 eV per atom.

---

(3)
Here is a geometry-optimized LiPrF4 structure from Alexandria. Energies are from PBE.

The space group is Cm (No. 8) and the conventional cell measures 5.761, 5.603 and 5.418 Å, with angles of 90.00, 103.02 and 90.00 degrees. The distinct sites, in fractional coordinates, are Li at (0.000, 0.000, 0.000), Pr at (0.002, 0.500, 0.499), F at (0.179, 0.236, 0.247) and F at (0.324, 0.265, 0.750).

The value obtained for the spin magnetization is 0.000 Bohr magnetons per cell. The value obtained for the total energy is -6.02 eV per atom. The calculation puts the energy relative to the elements, uncorrected at -3.658 eV per atom. Its mass density is 4.363 g/cm³.

---

(4)
Here is a geometry-optimized AcSmNi2Ge2 structure from Alexandria. Energies are from PBE.

The space group is P-3m1 (No. 164) and the conventional cell measures 4.1709, 4.1709 and 8.5123 Å, with angles of 90.00, 90.00 and 120.00 degrees. The distinct sites, in fractional coordinates, are Ac at (0.0000, 0.0000, 0.0000), Sm at (0.0000, 0.0000, 0.5000), Ni at (0.3333, 0.6667, 0.7315) and Ge at (0.3333, 0.6667, 0.2677).

The value obtained for the spin magnetization is 0.000 Bohr magnetons per cell. The value obtained for the total energy is -5.62 eV per atom. Its mass density is 8.287 g/cm³. Its formation energy is -0.687 eV per atom.

---

(5)
Here is a geometry-optimized MnReAg2 structure from Alexandria. Energies are from PBE.

The space group is F-43m (No. 216) and the conventional cell measures 6.339, 6.339 and 6.339 Å, with angles of 90.00, 90.00 and 90.00 degrees. The distinct sites, in fractional coordinates, are Mn at (0.000, 0.000, 0.000), Re at (0.250, 0.250, 0.250), Ag at (0.000, 0.000, 0.500) and Ag at (0.250, 0.250, 0.750).

The value obtained for the spin magnetization is 8.141 Bohr magnetons per cell. The value obtained for the total energy is -6.15 eV per atom. Its offset from the most stable computed form is 0.354 eV/atom. Its mass density is 11.915 g/cm³. Its formation energy is 0.680 eV per atom.

---

(6)
Here is a geometry-optimized LaZr2Si2 structure from Alexandria. Energies are from PBE.

The space group is I4/mmm (No. 139) and the conventional cell measures 5.073, 5.073 and 9.543 Å, with angles of 90.00, 90.00 and 90.00 degrees. The distinct sites, in fractional coordinates, are La at (0.000, 0.000, 0.000), Zr at (0.000, 0.000, 0.330) and Si at (0.000, 0.500, 0.250).

The value obtained for the spin magnetization is 0.007 Bohr magnetons per cell. The value obtained for the total energy is -6.88 eV per atom. Its offset from the most stable computed form is 0.323 eV/atom. The calculation puts the energy relative to the elements, uncorrected at -0.305 eV per atom. Its mass density is 5.104 g/cm³.

---

(7)
Here is a geometry-optimized HoSi2NiRu structure from Alexandria. Energies are from PBE.

The space group is I-4m2 (No. 119) and the conventional cell measures 3.968, 3.968 and 9.979 Å, with angles of 90.00, 90.00 and 90.00 degrees. The distinct sites, in fractional coordinates, are Ho at (0.000, 0.000, 0.000), Si at (0.000, 0.000, 0.377), Ni at (0.000, 0.500, 0.250) and Ru at (0.000, 0.500, 0.750).

The value obtained for the spin magnetization is 0.000 Bohr magnetons per cell. The value obtained for the total energy is -6.96 eV per atom. The calculation puts the energy relative to the elements, uncorrected at -0.868 eV per atom. Its mass density is 8.050 g/cm³.

---

(8)
Here is a geometry-optimized NaLiI2 structure from Alexandria. Energies are from PBE.

The space group is Fm-3m (No. 225) and the conventional cell measures 7.941, 7.941 and 7.941 Å, with angles of 90.00, 90.00 and 90.00 degrees. The distinct sites, in fractional coordinates, are Na at (0.000, 0.000, 0.000), Li at (0.000, 0.000, 0.500) and I at (0.250, 0.250, 0.250).

The value obtained for the spin magnetization is 0.000 Bohr magnetons per cell. The value obtained for the total energy is -2.58 eV per atom. Its offset from the most stable computed form is 0.217 eV/atom. The calculation puts the energy relative to the elements, uncorrected at -0.995 eV per atom. Its mass density is 3.763 g/cm³.